{"formula": "ZrBr", "functional": "PBE", "state": "optimized geometry", "crystal_system": "monoclinic", "formation_energy_uncorrected_ev_per_atom": -0.536, "total_magnetization_mub_per_cell": 0.00, "lattice_angstrom": [[6.4535, -1.6719, 0.0000], [6.4535, 1.6719, 0.0000], [-1.6644, 0.0000, 6.6285]], "species": ["Zr", "Zr", "Zr", "Br", "Br", "Br"], "frac_coords": [[0.0000, 0.0000, 0.0000], [0.0920, 0.0920, 0.6247], [0.7204, 0.7204, 0.9595], [0.3474, 0.3474, 0.7289], [0.3786, 0.3786, 0.2237], [0.6416, 0.6416, 0.3028]]}